Here is a geometry-optimized MgNiP2O7 structure from the Alexandria database. Energies are from PBE+U.

abc: 5.522 6.411 7.363
angles: 82.45 87.44 71.59
Each line ends with the local moment (μB).
Element x y z (fractional)
Mg 0.330 0.657 0.654  0.00
Mg 0.670 0.343 0.346  0.00
Ni 0.256 0.162 0.202  1.80
Ni 0.744 0.838 0.798  1.80
P 0.186 0.687 0.095  0.01
P 0.814 0.313 0.905  0.01
P 0.233 0.197 0.613  0.00
P 0.767 0.803 0.387  0.00
O 0.102 0.692 0.897  0.02
O 0.898 0.308 0.103  0.02
O 0.297 0.868 0.120  0.02
O 0.703 0.132 0.880  0.02
O 0.355 0.452 0.170  0.02
O 0.645 0.548 0.830  0.02
O 0.606 0.647 0.432  0.00
O 0.394 0.353 0.568  0.00
O 0.053 0.213 0.454  0.03
O 0.947 0.787 0.546  0.03
O 0.077 0.280 0.791  0.00
O 0.923 0.720 0.209  0.00
O 0.608 0.045 0.326  0.02
O 0.392 0.955 0.674  0.02

Output
- Excess energy over the best structure of this formula in the dataset: 2 meV per atom
- Crystal system: triclinic
- V: 245.18 Å³ per cell
- Magnetic moment: 0.18 μB per atom
- Space group: P-1